# CsLiTm2Te4

An optimized crystal structure of CsLiTm2Te4 (PBE, Alexandria).

Geometry as extended XYZ:
```
16
Lattice="-3.340 0.160 2.996 2.325 -7.626 -0.364 10.447 2.636 11.505" Properties=species:S:1:pos:R:3 pbc="T T T"
Li 6.594 -2.876 10.868
Cs 1.452 -5.137 5.257
Te 4.932 -1.934 8.965
Te 0.000 0.000 0.000
Te 8.388 -4.385 9.585
Te 1.045 -0.444 4.552
Tm 6.362 -4.058 7.309
Cs 7.980 0.307 8.879
Te 4.501 -2.895 5.172
Tm -0.839 -1.758 2.522
Tm 10.272 -3.072 11.614
Te 1.408 -3.676 1.766
Li 2.839 -1.954 3.269
Te 5.224 1.318 5.752
Tm 3.071 -0.771 6.828
Te 8.025 -1.154 12.371
```

Output
The calculation puts the uncorrected energy at -69.01 eV for the cell shown. The formation energy from raw total energies is -1278.3 meV per atom. The space group is Cmcm, No. 63.

# CsLiTmTe3

An optimized crystal structure of CsLiTmTe3 (PBE, Alexandria).

Geometry as extended XYZ:
```
12
Lattice="-1.757 3.289 2.376 -2.988 -6.769 7.161 10.034 4.279 1.496" Properties=species:S:1:pos:R:3 pbc="T T T"
Te 6.408 0.837 5.637
Tm 6.271 3.906 5.401
Tm -0.982 -3.107 5.632
Te -2.618 -2.844 8.172
Cs 1.481 0.447 2.533
Te -1.119 -0.038 5.396
Cs 3.808 0.352 8.500
Te 3.587 3.364 4.167
Te 1.702 -2.565 6.867
Li 5.377 2.855 2.081
Te 7.907 3.643 2.861
Li -0.088 -2.056 8.952
```

Output
The calculation puts the uncorrected energy at -46.32 eV for the cell shown. The formation energy from raw total energies is -1082.6 meV per atom. The space group is P2_1/m, No. 11.

# Cs2LiU2Te6

An optimized crystal structure of Cs2LiU2Te6 (PBE, Alexandria).

Geometry as extended XYZ:
```
11
Lattice="7.708 -0.014 0.097 -3.822 6.694 0.097 -1.347 -2.315 9.009" Properties=species:S:1:pos:R:3 pbc="T T T"
U 3.195 1.063 4.601
Te 1.828 3.141 6.320
Li -0.673 -1.157 4.504
Te 4.535 3.257 3.004
U -0.655 3.303 4.601
Cs 5.832 1.078 0.097
Te 1.950 -1.186 6.199
Te 0.712 1.224 2.883
Cs -1.946 5.603 0.097
Te 0.590 5.552 3.004
Te -1.995 1.108 6.199
```

Output
The calculation puts the uncorrected energy at -54.25 eV for the cell shown. The formation energy from raw total energies is -837.1 meV per atom. The space group is C2/m, No. 12.